This record from Alexandria describes crystalline ErTm2Al at its relaxed geometry. The functional is PBE-GGA.

## Properties
relative energy among the computed polymorphs	7.274	kcal/mol of atoms
space group	R-3m

Lattice parameters (Å, degrees): 11.524 11.524 11.524 16.99 16.99 16.99
Atoms (fractional coordinates):
Er (0.000, 0.000, 0.000)
Tm (0.099, 0.099, 0.099)
Tm (0.901, 0.901, 0.901)
Al (0.500, 0.500, 0.500)

This record from Alexandria describes crystalline ErTm6Al at its relaxed geometry. The functional is PBE-GGA.

## Properties
space group	C2/m
energy	-4.3127	eV per atom

Lattice parameters (Å, degrees): 6.458 6.458 6.308 90.01 90.01 120.18
Atoms (fractional coordinates):
Er (0.000, 0.000, 0.000)
Tm (0.002, 0.576, 0.255)
Tm (0.424, 0.998, 0.745)
Tm (0.428, 0.428, 0.255)
Tm (0.572, 0.572, 0.745)
Tm (0.576, 0.002, 0.255)
Tm (0.998, 0.424, 0.745)
Al (0.000, 0.000, 0.500)

| no. | spin magnetization (μB/cell) |
| --- | --- |
| 1 | 0.9 |
| 2 | 0.0 |